DFT (GGA-PBE) results for crystalline ReTc2W at its relaxed geometry.

Cell lengths 2.708, 2.708, 8.791 Å; angles 90.00, 90.00, 109.56 degrees
Atoms (fractional coordinates):
1 Re 0.500 0.500 0.753
2 Tc 0.000 0.000 0.001
3 Tc 0.500 0.500 0.248
4 W 0.000 0.000 0.499

Computed properties:
magnetic moment = 0.00 μB/f.u.
energy = -11.34 eV per atom
DOS at the Fermi energy = 4.6 states/eV/f.u.
energy relative to the lowest polymorph listed for this composition = 84 meV/atom
ρ = 15.472 g/cm3
ΔH_f (0 K) = 0.20 eV per atom


DFT (GGA-PBE) results for crystalline Co2AuCl at its relaxed geometry.

Cell lengths 8.900, 8.900, 8.900 Å; angles 18.83, 18.83, 18.83 degrees
Site moments in Bohr magnetons follow the coordinates.
Atoms (fractional coordinates):
1 Co 0.997 0.997 0.997  1.84
2 Co 0.264 0.264 0.264  1.75
3 Au 0.514 0.514 0.514  -0.04
4 Cl 0.726 0.726 0.726  0.17

Computed properties:
magnetic moment = 3.67 μB/f.u.
energy = -4.59 eV per atom
DOS at the Fermi energy = 5.2 states/eV/f.u.
formation energy from raw total energies = 0.248 eV per atom
energy relative to the lowest polymorph listed for this composition = 58 meV/atom
ρ = 9.061 g/cm3


DFT (GGA-PBE) results for crystalline LaNpPdO6 at its relaxed geometry.

Cell lengths 5.409, 5.409, 10.741 Å; angles 90.00, 90.00, 120.00 degrees
Site moments in Bohr magnetons follow the coordinates.
Atoms (fractional coordinates):
1 La 0.000 0.000 0.000  0.01
2 La 0.000 0.000 0.500  0.01
3 Np 0.667 0.333 0.250  1.37
4 Np 0.333 0.667 0.750  1.37
5 Pd 0.333 0.667 0.250  0.50
6 Pd 0.667 0.333 0.750  0.50
7 O 0.648 0.643 0.141  0.01
8 O 0.995 0.352 0.141  0.01
9 O 0.352 0.995 0.641  0.01
10 O 0.005 0.648 0.859  0.01
11 O 0.357 0.352 0.359  0.01
12 O 0.995 0.643 0.359  0.01
13 O 0.643 0.995 0.859  0.01
14 O 0.648 0.005 0.359  0.01
15 O 0.005 0.357 0.641  0.01
16 O 0.357 0.005 0.141  0.01
17 O 0.643 0.648 0.641  0.01
18 O 0.352 0.357 0.859  0.01

Computed properties:
magnetic moment = 2.04 μB/f.u.
energy = -8.16 eV per atom
DOS at the Fermi energy = 8.1 states/eV/f.u.
formation energy from raw total energies = -2.290 eV per atom
ρ = 7.057 g/cm3


DFT (GGA-PBE) results for crystalline Ba2Pm3Tl4 at its relaxed geometry.

Cell lengths 7.595, 9.367, 9.820 Å; angles 90.00, 112.75, 90.00 degrees
Atoms (fractional coordinates):
1 Ba 0.108 0.580 0.215
2 Ba 0.892 0.420 0.785
3 Ba 0.392 0.080 0.785
4 Ba 0.608 0.920 0.215
5 Pm 0.000 0.000 0.000
6 Pm 0.500 0.500 0.000
7 Pm 0.527 0.750 0.555
8 Pm 0.973 0.250 0.445
9 Pm 0.473 0.250 0.445
10 Pm 0.027 0.750 0.555
11 Tl 0.701 0.750 0.902
12 Tl 0.799 0.250 0.098
13 Tl 0.299 0.250 0.098
14 Tl 0.201 0.750 0.902
15 Tl 0.182 0.968 0.365
16 Tl 0.818 0.032 0.635
17 Tl 0.318 0.468 0.635
18 Tl 0.682 0.532 0.365

Computed properties:
magnetic moment = 0.00 μB/f.u.
energy = -3.32 eV per atom
DOS at the Fermi energy = 10.5 states/eV/f.u.
ρ = 7.873 g/cm3
ΔH_f (0 K) = -0.26 eV per atom


DFT (GGA-PBE) results for crystalline Pm5YIn8 at its relaxed geometry.

Cell lengths 8.095, 8.095, 8.095 Å; angles 109.21, 110.00, 109.21 degrees
Atoms (fractional coordinates):
1 Pm 0.995 0.369 0.121
2 Pm 0.879 0.874 0.248
3 Pm 0.752 0.631 0.626
4 Pm 0.500 0.000 0.500
5 Pm 0.374 0.126 0.005
6 Y 0.250 0.500 0.750
7 In 0.125 0.742 0.040
8 In 0.960 0.086 0.702
9 In 0.799 0.253 0.383
10 In 0.617 0.417 0.871
11 In 0.454 0.583 0.201
12 In 0.617 0.914 0.875
13 In 0.298 0.258 0.383
14 In 0.129 0.747 0.546

Computed properties:
magnetic moment = 0.00 μB/f.u.
energy = -4.10 eV per atom
DOS at the Fermi energy = 12.6 states/eV/f.u.
ρ = 7.047 g/cm3
ΔH_f (0 K) = -0.38 eV per atom


DFT (GGA-PBE) results for crystalline LaDy5Tm2 at its relaxed geometry.

Cell lengths 5.012, 7.123, 14.248 Å; angles 90.00, 90.00, 90.00 degrees
Atoms (fractional coordinates):
1 La 0.000 0.000 0.500
2 La 0.000 0.500 0.000
3 Dy 0.000 0.000 0.000
4 Dy 0.000 0.500 0.500
5 Dy 0.000 0.498 0.748
6 Dy 0.000 0.502 0.252
7 Dy 0.000 0.002 0.248
8 Dy 0.000 0.998 0.752
9 Dy 0.500 0.247 0.873
10 Dy 0.500 0.753 0.127
11 Dy 0.500 0.253 0.373
12 Dy 0.500 0.747 0.627
13 Tm 0.500 0.250 0.626
14 Tm 0.500 0.750 0.374
15 Tm 0.500 0.250 0.126
16 Tm 0.500 0.750 0.874

Computed properties:
magnetic moment = 0.00 μB/f.u.
energy = -4.58 eV per atom
DOS at the Fermi energy = 10.8 states/eV/f.u.
ρ = 8.418 g/cm3
ΔH_f (0 K) = 0.03 eV per atom